(1)
# BaCrSiSn2, relaxed, DFT PBEsol
data_BaCrSiSn2
_chemical_formula_sum 'Ba1 Cr1 Si1 Sn2'
_symmetry_space_group_name_H-M 'P 4/m m m'
_symmetry_Int_Tables_number 123
_symmetry_space_group_name_Hall '-P 4 2'
_cell_length_a 5.959
_cell_length_b 5.959
_cell_length_c 5.392
_cell_angle_alpha 90.00
_cell_angle_beta 90.00
_cell_angle_gamma 90.00
loop_
_atom_site_label
_atom_site_type_symbol
_atom_site_fract_x
_atom_site_fract_y
_atom_site_fract_z
_atom_site_occupancy
Ba1 Ba 0.000 0.000 0.000 1
Cr1 Cr 0.000 0.000 0.500 1
Si1 Si 0.500 0.500 0.500 1
Sn1 Sn 0.000 0.500 0.000 1
# Magnetization ... 4.752 Bohr magnetons per cell
# DOS at the Fermi energy ... 4.25 states/eV/cell
# Formation energy (no corrections) ... 1887 meV/atom

---

(2)
# TcOs, relaxed, DFT PBEsol
data_TcOs
_chemical_formula_sum 'Tc1 Os1'
_symmetry_space_group_name_H-M 'P -6 m 2'
_symmetry_Int_Tables_number 187
_symmetry_space_group_name_Hall 'P -6 2'
_cell_length_a 2.7258
_cell_length_b 2.7258
_cell_length_c 4.3250
_cell_angle_alpha 90.00
_cell_angle_beta 90.00
_cell_angle_gamma 120.00
loop_
_atom_site_label
_atom_site_type_symbol
_atom_site_fract_x
_atom_site_fract_y
_atom_site_fract_z
_atom_site_occupancy
Tc1 Tc 0.0000 0.0000 0.0000 1
Os1 Os 0.3333 0.6667 0.5000 1
# Magnetization ... 0.000 Bohr magnetons per cell
# DOS at the Fermi energy ... 1.46 states/eV/cell
# Calculated formation energy ... -85 meV/atom
# Energy relative to the lowest polymorph listed for this composition ... 11 meV/atom

---

(3)
# CoPbF2, relaxed, DFT PBEsol
data_CoPbF2
_chemical_formula_sum 'Co3 Pb3 F6'
_symmetry_space_group_name_H-M 'R -3 m'
_symmetry_Int_Tables_number 166
_symmetry_space_group_name_Hall '-R 3 2"'
_cell_length_a 3.2655
_cell_length_b 3.2655
_cell_length_c 21.2853
_cell_angle_alpha 90.00
_cell_angle_beta 90.00
_cell_angle_gamma 120.00
loop_
_atom_site_label
_atom_site_type_symbol
_atom_site_fract_x
_atom_site_fract_y
_atom_site_fract_z
_atom_site_occupancy
Co1 Co 0.0000 0.0000 0.0000 1
Pb1 Pb 0.0000 0.0000 0.5000 1
F1 F 0.0000 0.0000 0.3774 1
# Magnetization ... 7.800 Bohr magnetons per cell
# DOS at the Fermi energy ... 20.84 states/eV/cell
# Formation energy (no corrections) ... -1077 meV/atom
# Energy relative to the lowest polymorph listed for this composition ... 0 meV/atom

---

(4)
# Rb3Mn2Br7, relaxed, DFT PBEsol
data_Rb3Mn2Br7
_chemical_formula_sum 'Rb6 Mn4 Br14'
_symmetry_space_group_name_H-M 'I 4/m m m'
_symmetry_Int_Tables_number 139
_symmetry_space_group_name_Hall '-I 4 2'
_cell_length_a 5.279
_cell_length_b 5.279
_cell_length_c 27.180
_cell_angle_alpha 90.00
_cell_angle_beta 90.00
_cell_angle_gamma 90.00
loop_
_atom_site_label
_atom_site_type_symbol
_atom_site_fract_x
_atom_site_fract_y
_atom_site_fract_z
_atom_site_occupancy
Rb1 Rb 0.000 0.000 0.000 1
Rb2 Rb 0.000 0.000 0.180 1
Mn1 Mn 0.000 0.000 0.401 1
Br1 Br 0.000 0.000 0.305 1
Br2 Br 0.000 0.000 0.500 1
Br3 Br 0.000 0.500 0.095 1
# Magnetization ... 20.000 Bohr magnetons per cell
# Formation energy (no corrections) ... -1210 meV/atom

---

(5)
# Ba2Os, relaxed, DFT PBEsol
data_Ba2Os
_chemical_formula_sum 'Ba2 Os1'
_symmetry_space_group_name_H-M 'P 6/m m m'
_symmetry_Int_Tables_number 191
_symmetry_space_group_name_Hall '-P 6 2'
_cell_length_a 5.5099
_cell_length_b 5.5099
_cell_length_c 3.0594
_cell_angle_alpha 90.00
_cell_angle_beta 90.00
_cell_angle_gamma 120.00
loop_
_atom_site_label
_atom_site_type_symbol
_atom_site_fract_x
_atom_site_fract_y
_atom_site_fract_z
_atom_site_occupancy
Ba1 Ba 0.3333 0.6667 0.0000 1
Os1 Os 0.0000 0.0000 0.5000 1
# Magnetization ... 0.000 Bohr magnetons per cell
# DOS at the Fermi energy ... 2.20 states/eV/cell
# Calculated formation energy ... 1047 meV/atom

---

(6)
# AlH12N3F6, relaxed, DFT PBEsol
data_AlH12N3F6
_chemical_formula_sum 'Al4 H48 N12 F24'
_symmetry_space_group_name_H-M 'A e a 2'
_symmetry_Int_Tables_number 41
_cell_length_a 8.862
_cell_length_b 8.497
_cell_length_c 8.982
_cell_angle_alpha 90.00
_cell_angle_beta 90.00
_cell_angle_gamma 90.00
loop_
_symmetry_equiv_pos_as_xyz
'x,y,z'
'-x,-y,z'
'-x+1/2,y+1/2,z'
'x+1/2,-y+1/2,z'
'x,y+1/2,z+1/2'
'-x,-y+1/2,z+1/2'
'-x+1/2,y,z+1/2'
'x+1/2,-y,z+1/2'
loop_
_atom_site_label
_atom_site_type_symbol
_atom_site_fract_x
_atom_site_fract_y
_atom_site_fract_z
_atom_site_occupancy
Al1 Al 0.000 0.000 0.000 1
H1 H 0.009 0.103 0.443 1
H2 H 0.095 0.497 0.070 1
H3 H 0.156 0.332 0.722 1
H4 H 0.163 0.326 0.288 1
H5 H 0.216 0.186 0.841 1
H6 H 0.225 0.191 0.159 1
N1 N 0.000 0.000 0.504 1
N2 N 0.246 0.260 0.752 1
F1 F 0.000 0.000 0.202 1
F2 F 0.000 0.000 0.797 1
F3 F 0.063 0.299 0.494 1
F4 F 0.197 0.071 0.003 1
# Calculated total energy ... -5.119 eV/atom
# Magnetization ... 0.292 Bohr magnetons per cell
# DOS at the Fermi energy ... 0.00 states/eV/cell

---

(7)
# Nd3TaO7, relaxed, DFT PBEsol
data_Nd3TaO7
_chemical_formula_sum 'Nd12 Ta4 O28'
_symmetry_space_group_name_H-M 'C m c m'
_symmetry_Int_Tables_number 63
_symmetry_space_group_name_Hall '-C 2c 2'
_cell_length_a 7.585
_cell_length_b 10.799
_cell_length_c 7.662
_cell_angle_alpha 90.00
_cell_angle_beta 90.00
_cell_angle_gamma 90.00
loop_
_atom_site_label
_atom_site_type_symbol
_atom_site_fract_x
_atom_site_fract_y
_atom_site_fract_z
_atom_site_occupancy
Nd1 Nd 0.000 0.000 0.000 1
Nd2 Nd 0.232 0.269 0.250 1
Ta1 Ta 0.000 0.500 0.000 1
O1 O 0.000 0.129 0.750 1
O2 O 0.000 0.134 0.250 1
O3 O 0.000 0.441 0.250 1
O4 O 0.193 0.378 0.530 1
# Magnetization ... 0.000 Bohr magnetons per cell
# DOS at the Fermi energy ... 0.00 states/eV/cell
# Formation energy (no corrections) ... -3330 meV/atom

---

(8)
# YScTeCl2, relaxed, DFT PBEsol
data_YScTeCl2
_chemical_formula_sum 'Y1 Sc1 Te1 Cl2'
_symmetry_space_group_name_H-M 'P 4/m m m'
_symmetry_Int_Tables_number 123
_symmetry_space_group_name_Hall '-P 4 2'
_cell_length_a 4.663
_cell_length_b 4.663
_cell_length_c 6.998
_cell_angle_alpha 90.00
_cell_angle_beta 90.00
_cell_angle_gamma 90.00
loop_
_atom_site_label
_atom_site_type_symbol
_atom_site_fract_x
_atom_site_fract_y
_atom_site_fract_z
_atom_site_occupancy
Y1 Y 0.000 0.000 0.000 1
Sc1 Sc 0.000 0.000 0.500 1
Te1 Te 0.500 0.500 0.000 1
Cl1 Cl 0.000 0.500 0.500 1
# Magnetization ... 0.000 Bohr magnetons per cell
# DOS at the Fermi energy ... 1.82 states/eV/cell
# Formation energy (no corrections) ... -1135 meV/atom

---

(9)
# CaTi2Br, relaxed, DFT PBEsol
data_CaTi2Br
_chemical_formula_sum 'Ca4 Ti8 Br4'
_symmetry_space_group_name_H-M 'F m -3 m'
_symmetry_Int_Tables_number 225
_symmetry_space_group_name_Hall '-F 4 2 3'
_cell_length_a 6.860
_cell_length_b 6.860
_cell_length_c 6.860
_cell_angle_alpha 90.00
_cell_angle_beta 90.00
_cell_angle_gamma 90.00
loop_
_atom_site_label
_atom_site_type_symbol
_atom_site_fract_x
_atom_site_fract_y
_atom_site_fract_z
_atom_site_occupancy
Ca1 Ca 0.000 0.000 0.000 1
Ti1 Ti 0.250 0.250 0.250 1
Br1 Br 0.000 0.000 0.500 1
# Magnetization ... 7.896 Bohr magnetons per cell
# DOS at the Fermi energy ... 29.98 states/eV/cell
# Formation energy (no corrections) ... 760 meV/atom

---

(10)
# EuIn6Ni7, relaxed, DFT PBEsol
data_EuIn6Ni7
_chemical_formula_sum 'Eu4 In24 Ni28'
_symmetry_space_group_name_H-M 'I b a m'
_symmetry_Int_Tables_number 72
_symmetry_space_group_name_Hall '-I 2 2c'
_cell_length_a 7.956
_cell_length_b 9.243
_cell_length_c 12.366
_cell_angle_alpha 90.00
_cell_angle_beta 90.00
_cell_angle_gamma 90.00
loop_
_atom_site_label
_atom_site_type_symbol
_atom_site_fract_x
_atom_site_fract_y
_atom_site_fract_z
_atom_site_occupancy
Eu1 Eu 0.000 0.000 0.250 1
In1 In 0.173 0.306 0.140 1
In2 In 0.175 0.043 0.000 1
Ni1 Ni 0.000 0.500 0.000 1
Ni2 Ni 0.076 0.241 0.500 1
Ni3 Ni 0.124 0.414 0.329 1
# Magnetization ... 28.042 Bohr magnetons per cell
# DOS at the Fermi energy ... 72.24 states/eV/cell
# Calculated formation energy ... -246 meV/atom